## SrNdCoSbO6 (GGA+U)

Data for a relaxed SrNdCoSbO6 crystal.

D(E_F)	7.651	states/eV per cell
electronic total energy	-6.5689	eV per atom
M_tot	3.0	μB/f.u.

abc: 5.664 5.664 5.664
angles: 60.00 60.00 60.00
Fractional positions:
Sb 0.500 0.500 0.500
Nd 0.250 0.250 0.250
Sr 0.750 0.750 0.750
O 0.746 0.254 0.746
O 0.254 0.746 0.746
O 0.746 0.746 0.254
O 0.746 0.254 0.254
O 0.254 0.746 0.254
O 0.254 0.254 0.746
Co 0.000 0.000 0.000